1.
The following is a DFT calculation (PBE) of a relaxed structure of KCrRhSe3.

Unit cell a=3.753 b=8.347 c=9.651 alpha=113.63 beta=90.00 gamma=90.00
Each line ends with the local moment (μB).
Fractional coordinates of all 12 atoms:
K  0.750  0.763  0.739  0.00
K  0.250  0.237  0.261  0.00
Cr  0.250  0.690  0.165  2.28
Cr  0.750  0.310  0.835  2.28
Rh  0.250  0.093  0.603  -0.38
Rh  0.750  0.907  0.397  -0.38
Se  0.250  0.744  0.434  -0.11
Se  0.750  0.877  0.134  -0.13
Se  0.750  0.466  0.126  -0.15
Se  0.750  0.256  0.566  -0.11
Se  0.250  0.534  0.874  -0.15
Se  0.250  0.123  0.866  -0.13

Computed properties:
- Volume: 23.1 A^3/atom
- DOS(E_F): 0.4198 states/eV/atom
- Formation energy without anion corrections: -608 meV per atom
- Density: 5.2 g/cm3
- Total magnetic moment: 3.0 μB/cell

=====

2.
The following is a DFT calculation (PBE) of a relaxed structure of LaCoOs3.

Unit cell a=4.788 b=4.788 c=4.788 alpha=90.00 beta=90.00 gamma=90.00
Each line ends with the local moment (μB).
Fractional coordinates of all 5 atoms:
Co  0.500  0.500  0.500  -0.16
Os  0.000  0.500  0.000  0.62
Os  0.000  0.000  0.500  0.53
Os  0.500  0.000  0.000  0.49
La  0.000  0.000  0.000  -0.03

Computed properties:
- Volume: 21.9 A^3/atom
- ΔH_f (0 K): 3291 meV/atom
- DOS(E_F): 3.4787 states/eV/atom
- Density: 11.6 g/cm3
- Total magnetic moment: 1.5 μB/cell

=====

3.
The following is a DFT calculation (PBE) of a relaxed structure of K2ZnRe.

Unit cell a=12.147 b=12.147 c=12.147 alpha=13.84 beta=13.84 gamma=13.84
Each line ends with the local moment (μB).
Fractional coordinates of all 4 atoms:
K  0.997  0.997  0.997  0.00
K  0.503  0.503  0.503  0.00
Re  0.250  0.250  0.250  0.21
Zn  0.750  0.750  0.750  0.00

Computed properties:
- Volume: 22.3 A^3/atom
- ΔH_f (0 K): 1095 meV/atom
- DOS(E_F): 0.6607 states/eV/atom
- Density: 6.1 g/cm3
- Total magnetic moment: 0.2 μB/cell

=====

4.
The following is a DFT calculation (PBE) of a relaxed structure of YZrW2Br.

Unit cell a=4.954 b=5.297 c=4.954 alpha=90.00 beta=90.00 gamma=90.00
Each line ends with the local moment (μB).
Fractional coordinates of all 5 atoms:
Y  0.500  0.500  0.500  0.02
Br  0.000  0.500  0.000  0.08
Zr  0.000  0.000  0.000  -0.05
W  0.000  0.000  0.500  0.63
W  0.500  0.000  0.000  0.92

Computed properties:
- Volume: 26.0 A^3/atom
- DOS(E_F): 1.0288 states/eV/atom
- Formation energy without anion corrections: 1477 meV per atom
- Density: 8.0 g/cm3
- Total magnetic moment: 2.1 μB/cell

=====

- What is the density in the first record?
  5.2 g/cm3

=====

- Which of these has the highest total magnetic moment?
  KCrRhSe3

=====

- Among the records above, which one has the lowest volume?
  LaCoOs3